# K2FeHgO4

Crystalline K2FeHgO4 at its relaxed geometry (GGA+U, Alexandria via LeMat-Bulk).

CIF file:
```
data_K2FeHgO4
_chemical_formula_sum 'K4 Fe2 Hg2 O8'
_space_group_name_H-M_alt 'I -4'
_space_group_IT_number 82
_cell_length_a 6.252
_cell_length_b 6.252
_cell_length_c 7.167
_cell_angle_alpha 90.00
_cell_angle_beta 90.00
_cell_angle_gamma 90.00
loop_
_space_group_symop_operation_xyz
'x,y,z'
'y,-x,-z'
'-x,-y,z'
'-y,x,-z'
'x+1/2,y+1/2,z+1/2'
'y+1/2,-x+1/2,-z+1/2'
'-x+1/2,-y+1/2,z+1/2'
'-y+1/2,x+1/2,-z+1/2'
loop_
_atom_site_label
_atom_site_type_symbol
_atom_site_fract_x
_atom_site_fract_y
_atom_site_fract_z
K1 K 0.000 0.000 0.000
K2 K 0.000 0.500 0.250
Fe1 Fe 0.000 0.500 0.750
Hg1 Hg 0.000 0.000 0.500
O1 O 0.145 0.298 0.604
```

Calculated values
The calculation puts the density of states at the Fermi level at 1.47 states/eV/cell. The value obtained for the final energy is -4.555 eV per atom. The crystal system is tetragonal.